[1]
AcLa2Nd3Se6: relaxed, GGA-PBE.

a b c (Å): 7.453 7.453 7.439
angles (deg): 99.62 99.62 120.15
Element x y z (fractional)
Ac 0.000 0.000 0.000
La 0.333 0.667 0.000
La 0.667 0.333 0.000
Nd 0.165 0.835 0.500
Nd 0.835 0.165 0.500
Nd 0.500 0.500 0.500
Se 0.914 0.575 0.741
Se 0.747 0.747 0.257
Se 0.086 0.425 0.259
Se 0.575 0.914 0.741
Se 0.253 0.253 0.743
Se 0.425 0.086 0.259

Summary:
formation energy (no corrections)	-1.899	eV/atom
DOS at the Fermi energy	6.30	states/eV/f.u.


[2]
CrRe3: relaxed, GGA-PBE.

a b c (Å): 2.742 2.742 8.842
angles (deg): 90.00 90.00 120.00
Element x y z (fractional)
Cr 0.000 0.000 0.000
Re 0.000 0.000 0.500
Re 0.333 0.667 0.243
Re 0.333 0.667 0.757

Summary:
ΔE_f	0.62	eV per formula unit
DOS at the Fermi energy	5.19	states/eV/f.u.


[3]
DyYHf: relaxed, GGA-PBE.

a b c (Å): 3.734 3.734 12.589
angles (deg): 90.00 90.00 90.00
Element x y z (fractional)
Dy 0.000 0.500 0.592
Dy 0.500 0.000 0.408
Y 0.500 0.000 0.792
Y 0.000 0.500 0.208
Hf 0.000 0.500 0.949
Hf 0.500 0.000 0.051

Summary:
ΔE_f	0.40	eV per formula unit
polymorph energy (0 for the lowest one)	9	meV per atom
DOS at the Fermi energy	4.65	states/eV/f.u.


[4]
Nd3P: relaxed, GGA-PBE.

a b c (Å): 3.841 6.450 6.045
angles (deg): 122.24 108.52 90.00
Element x y z (fractional)
P 0.000 0.076 0.000
Nd 0.312 0.657 0.624
Nd 0.500 0.400 0.000
Nd 0.688 0.034 0.376

Summary:
ΔE_f	-2.37	eV per formula unit
polymorph energy (0 for the lowest one)	0	meV per atom
DOS at the Fermi energy	1.60	states/eV/f.u.


[5]
NiAsRh: relaxed, GGA-PBE.

a b c (Å): 4.060 4.060 4.060
angles (deg): 60.00 60.00 60.00
Element x y z (fractional)
As 0.000 0.000 0.000
Ni 0.500 0.500 0.500
Rh 0.750 0.750 0.750

Summary:
ΔE_f	-0.23	eV per formula unit
DOS at the Fermi energy	2.17	states/eV/f.u.


[6]
YCoGe2: relaxed, GGA-PBE.

a b c (Å): 4.020 4.020 5.562
angles (deg): 68.81 68.81 60.00
Element x y z (fractional)
Y 0.000 0.000 0.000
Ge 0.783 0.783 0.650
Ge 0.217 0.217 0.350
Co 0.500 0.500 0.500

Summary:
ΔE_f	-2.37	eV per formula unit
DOS at the Fermi energy	2.41	states/eV/f.u.


[7]
KInP: relaxed, GGA-PBE.

a b c (Å): 4.254 5.908 7.739
angles (deg): 79.88 90.14 68.93
Element x y z (fractional)
K 0.151 0.828 0.688
K 0.395 0.347 0.359
In 0.896 0.342 0.973
In 0.650 0.834 0.074
P 0.454 0.223 0.800
P 0.092 0.952 0.246

Summary:
ΔE_f	-1.12	eV per formula unit


[8]
Re2NiN: relaxed, GGA-PBE.

a b c (Å): 2.714 2.714 8.064
angles (deg): 80.31 80.31 60.00
Element x y z (fractional)
Re 0.103 0.103 0.690
Re 0.897 0.897 0.310
N 0.500 0.500 0.500
Ni 0.000 0.000 0.000

Summary:
formation energy (no corrections)	0.725	eV/atom
DOS at the Fermi energy	4.13	states/eV/f.u.


Number 1: energy -5.997 eV/atom, M_tot 0.00 μB/atom. Number 2: energy -11.586 eV/atom, M_tot 0.00 μB/atom. Number 3: energy -6.874 eV/atom, M_tot 0.00 μB/atom. Number 4: energy -5.521 eV/atom, M_tot 0.00 μB/atom. Number 5: energy -6.004 eV/atom, M_tot 0.00 μB/atom. Number 6: energy -6.293 eV/atom, M_tot 0.00 μB/atom. Number 7: energy -3.455 eV/atom, M_tot 0.00 μB/atom. Number 8: energy -9.025 eV/atom, M_tot 0.00 μB/atom.